Compound: Th4Te2PRu
Source: Alexandria via LeMat-Bulk
Functional: GGA-PBE
Structure: optimized geometry

POSCAR file:
```
Th4Te2PRu
1.0
7.4871 0.0000 0.0000
0.0000 4.1372 0.0000
-2.3931 0.0000 7.4553
Th Te P Ru
4 2 1 1
Direct
0.2211 0.0000 0.2030 Th
0.2643 0.5000 0.7906 Th
0.7357 0.5000 0.2094 Th
0.7789 0.0000 0.7970 Th
0.0000 0.0000 0.5000 Te
0.5000 0.5000 0.5000 Te
0.5000 0.0000 0.0000 P
0.0000 0.5000 0.0000 Ru
```

Computed properties:
Spin magnetization ... 0.0 μB/f.u.
E_form (uncorrected) ... -1.09 eV per atom